PBE HgSe3, optimized geometry; SG = No. 187; uncorrected formation energy = 273 meV/atom; calculated density = 7.58 Mg/m³
1.0
-1.046 3.621 -0.355
-1.195 -2.570 -2.509
-6.218 -1.369 4.365
Se Hg
3 1
Cartesian
-3.109 -0.685 2.182
-5.654 0.553 2.126
-2.756 1.191 0.092
0.000 0.000 0.000